No. 1
Density functional theory data (PBE-GGA) for a relaxed DyErAlPb crystal.

Lattice parameters (Å, degrees): 7.456 7.456 7.456 90.00 90.00 90.00
Space group F-43m (No. 216)
Inequivalent atoms, fractional coordinates:
Dy  0.000  0.000  0.000 (multiplicity 4)
Er  0.000  0.000  0.500 (multiplicity 4)
Al  0.250  0.250  0.750 (multiplicity 4)
Pb  0.250  0.250  0.250 (multiplicity 4)

Properties
**E**: -4.47 eV per atom
**ΔE_f**: -315 meV/atom

No. 2
Density functional theory data (PBE-GGA) for a relaxed POs crystal.

Lattice parameters (Å, degrees): 8.209 3.008 4.483 90.00 102.62 90.00
Space group C2/m (No. 12)
Inequivalent atoms, fractional coordinates:
P  0.118  0.000  0.321 (multiplicity 4)
Os  0.115  0.500  0.790 (multiplicity 4)

Properties
**E**: -8.28 eV per atom
**ΔE_f**: 38 meV/atom

No. 3
Density functional theory data (PBE-GGA) for a relaxed ErIn3Br6 crystal.

Lattice parameters (Å, degrees): 7.587 8.701 13.094 90.00 121.19 90.00
Space group P2_1/c (No. 14)
Inequivalent atoms, fractional coordinates:
Er  0.000  0.000  0.000 (multiplicity 2)
In  0.304  0.082  0.774 (multiplicity 4)
In  0.500  0.000  0.500 (multiplicity 2)
Br  0.093  0.066  0.231 (multiplicity 4)
Br  0.239  0.733  0.081 (multiplicity 4)
Br  0.348  0.163  0.040 (multiplicity 4)

Properties
**E**: -3.43 eV per atom
**Energy relative to the elements, uncorrected**: -1.15 eV/atom

No. 4
Density functional theory data (PBE-GGA) for a relaxed Cd2HW crystal.

Lattice parameters (Å, degrees): 7.246 7.246 4.783 90.00 90.00 90.00
Space group I-42d (No. 122)
Inequivalent atoms, fractional coordinates:
Cd  0.164  0.250  0.125 (multiplicity 8)
H  0.000  0.000  0.000 (multiplicity 4)
W  0.000  0.000  0.500 (multiplicity 4)

Properties
**E**: -3.47 eV per atom
**Polymorph energy (0 for the lowest one)**: 0 meV per atom

No. 5
Density functional theory data (PBE-GGA) for a relaxed Sm2MgTi crystal.

Lattice parameters (Å, degrees): 3.2463 3.2463 35.5627 90.00 90.00 120.00
Space group R-3m (No. 166, hexagonal axes)
Inequivalent atoms, fractional coordinates:
Sm  0.0000  0.0000  0.0830 (multiplicity 6)
Mg  0.0000  0.0000  0.5000 (multiplicity 3)
Ti  0.0000  0.0000  0.0000 (multiplicity 3)

Properties
**E**: -4.31 eV per atom
**ΔE_f**: 424 meV/atom
**Polymorph energy (0 for the lowest one)**: 320 meV per atom

No. 6
Density functional theory data (PBE-GGA) for a relaxed ThU2S4 crystal.

Lattice parameters (Å, degrees): 3.853 12.889 13.028 90.00 90.00 90.00
Space group Cmcm (No. 63)
Inequivalent atoms, fractional coordinates:
Th  0.000  0.119  0.250 (multiplicity 4)
U  0.000  0.364  0.062 (multiplicity 8)
S  0.000  0.000  0.000 (multiplicity 4)
S  0.000  0.272  0.629 (multiplicity 8)
S  0.000  0.458  0.250 (multiplicity 4)

Properties
**E**: -8.14 eV per atom
**Energy relative to the elements, uncorrected**: -1.49 eV/atom

No. 7
Density functional theory data (PBE-GGA) for a relaxed La2Tb6Dy3Tm crystal.

Lattice parameters (Å, degrees): 6.206 10.749 11.880 90.00 100.01 90.00
Space group C2/m (No. 12)
Inequivalent atoms, fractional coordinates:
La  0.000  0.166  0.000 (multiplicity 4)
Tb  0.247  0.500  0.746 (multiplicity 4)
Tb  0.249  0.166  0.746 (multiplicity 8)
Dy  0.000  0.000  0.500 (multiplicity 2)
Dy  0.000  0.334  0.500 (multiplicity 4)
Tm  0.000  0.500  0.000 (multiplicity 2)

Properties
**E**: -4.64 eV per atom
**ΔE_f**: 20 meV/atom

No. 8
Density functional theory data (PBE-GGA) for a relaxed KPuCd2Br8 crystal.

Lattice parameters (Å, degrees): 6.739 6.994 8.699 89.71 89.63 89.50
Space group P-1 (No. 2)
Inequivalent atoms, fractional coordinates:
K  0.000  0.000  0.000 (multiplicity 1)
Pu  0.000  0.000  0.500 (multiplicity 1)
Cd  0.498  0.499  0.243 (multiplicity 2)
Br  0.255  0.829  0.723 (multiplicity 2)
Br  0.257  0.830  0.276 (multiplicity 2)
Br  0.268  0.336  0.500 (multiplicity 2)
Br  0.273  0.368  0.000 (multiplicity 2)

Properties
**E**: -3.72 eV per atom
**Energy relative to the elements, uncorrected**: -1.16 eV/atom